CrPbBr2 | PBE | relaxed

```
4
Lattice="1.885 1.088 9.492 -1.885 1.088 9.492 0.000 -2.177 9.492" Properties=species:S:1:pos:R:3 pbc="T T T"
Cr 0.000 0.000 0.000
Pb 0.000 0.000 14.237
Br 0.000 0.000 11.087
Br 0.000 0.000 17.388
```

Properties
The uncorrected formation energy is -297 meV/atom.

=====

Tm4GeC2 | PBE | relaxed

```
14
Lattice="1.830 -6.027 0.000 1.830 6.027 0.000 0.000 0.000 12.361" Properties=species:S:1:pos:R:3 pbc="T T T"
Tm 0.000 0.000 0.000
Tm 0.000 0.000 6.181
Tm 1.830 2.837 7.485
Tm 1.830 2.837 11.057
Tm 1.830 0.820 3.090
Tm 1.830 -0.820 9.271
Tm 1.830 -2.837 1.305
Tm 1.830 -2.837 4.876
Ge 1.830 4.675 3.090
Ge 1.830 -4.675 9.271
C 1.830 1.636 0.750
C 1.830 1.636 5.431
C 1.830 -1.636 6.930
C 1.830 -1.636 11.612
```

Properties
The calculation puts the formation energy at -50.1 kJ per mole of atoms.

=====

Here are the calculated energy above the most stable polymorph in this dataset numbers, same order: 0.000, 0.000 (eV per atom).